# BeSiP | Alexandria via LeMat-Bulk | PBE | optimized geometry
data_BeSiP
_chemical_formula_sum 'Be2 Si2 P2'
_symmetry_space_group_name_H-M 'P 1'
_symmetry_Int_Tables_number 1
_cell_length_a 3.7158
_cell_length_b 3.7166
_cell_length_c 8.0639
_cell_angle_alpha 83.04
_cell_angle_beta 83.02
_cell_angle_gamma 61.24
loop_
_symmetry_equiv_pos_as_xyz
'x,y,z'
loop_
_atom_site_label
_atom_site_fract_x
_atom_site_fract_y
_atom_site_fract_z
Be1 0.0000 0.0000 0.0000
Be2 0.3906 0.5318 0.2158
Si1 0.4052 0.4692 0.6604
Si2 0.7590 0.8249 0.5544
P1 0.3553 0.3394 0.9428
P2 0.7104 0.8668 0.2724
# Uncorrected formation energy = -123.6 meV per atom
# Relative energy among the computed polymorphs = 0.035 eV/atom